1.
A plane-wave DFT calculation with PBE was carried out for crystalline SnPb2Se2 at its relaxed geometry.

```
data_SnPb2Se2
_chemical_formula_sum 'Sn2 Pb4 Se4'
_cell_length_a 8.249
_cell_length_b 8.249
_cell_length_c 4.199
_cell_angle_alpha 90.00
_cell_angle_beta 90.00
_cell_angle_gamma 90.00
_space_group_name_H-M_alt 'P 4/m b m'
_space_group_IT_number 127
_space_group_name_Hall '-P 4 2ab'
loop_
_atom_site_label
_atom_site_fract_x
_atom_site_fract_y
_atom_site_fract_z
_atom_site_occupancy
Sn1 0.000 0.000 0.000 1
Pb1 0.161 0.339 0.500 1
Se1 0.157 0.657 0.000 1
```

ΔE_f (raw)   -0.239 eV/atom
Fermi-level density of states   0.43 states/eV per atom
Relative energy among the computed polymorphs   0 meV/atom
ρ   8032 kg/m3

2.
A plane-wave DFT calculation with PBE was carried out for crystalline Sn2PbSe2 at its relaxed geometry.

```
data_Sn2PbSe2
_chemical_formula_sum 'Sn4 Pb2 Se4'
_cell_length_a 8.342
_cell_length_b 8.342
_cell_length_c 4.053
_cell_angle_alpha 90.00
_cell_angle_beta 90.00
_cell_angle_gamma 90.00
_space_group_name_H-M_alt 'P 4/m b m'
_space_group_IT_number 127
_space_group_name_Hall '-P 4 2ab'
loop_
_atom_site_label
_atom_site_fract_x
_atom_site_fract_y
_atom_site_fract_z
_atom_site_occupancy
Sn1 0.147 0.353 0.000 1
Pb1 0.000 0.000 0.000 1
Se1 0.185 0.685 0.500 1
```

ΔE_f (raw)   -0.120 eV/atom
Fermi-level density of states   0.53 states/eV per atom
Relative energy among the computed polymorphs   67 meV/atom
ρ   7095 kg/m3

3.
A plane-wave DFT calculation with PBE was carried out for crystalline SnPbSe at its relaxed geometry.

```
data_SnPbSe
_chemical_formula_sum 'Sn1 Pb1 Se1'
_cell_length_a 3.7675
_cell_length_b 3.7675
_cell_length_c 6.9508
_cell_angle_alpha 90.00
_cell_angle_beta 90.00
_cell_angle_gamma 120.00
_space_group_name_H-M_alt 'P 3 m 1'
_space_group_IT_number 156
loop_
_space_group_symop_operation_xyz
'x,y,z'
'-y,x-y,z'
'-x+y,-x,z'
'-y,-x,z'
'-x+y,y,z'
'x,x-y,z'
loop_
_atom_site_label
_atom_site_fract_x
_atom_site_fract_y
_atom_site_fract_z
_atom_site_occupancy
Sn1 0.0000 0.0000 0.0000 1
Pb1 0.6667 0.3333 0.4007 1
Se1 0.3333 0.6667 0.7404 1
```

ΔE_f (raw)   -0.163 eV/atom
Fermi-level density of states   0.50 states/eV per atom
Relative energy among the computed polymorphs   0 meV/atom
ρ   7869 kg/m3

4.
A plane-wave DFT calculation with PBE was carried out for crystalline SnPb3Se4 at its relaxed geometry.

```
data_SnPb3Se4
_chemical_formula_sum 'Sn2 Pb6 Se8'
_cell_length_a 12.354
_cell_length_b 6.177
_cell_length_c 6.189
_cell_angle_alpha 90.00
_cell_angle_beta 90.00
_cell_angle_gamma 90.00
_space_group_name_H-M_alt 'P m n 21'
_space_group_IT_number 31
loop_
_space_group_symop_operation_xyz
'x,y,z'
'-x+1/2,-y,z+1/2'
'-x,y,z'
'x+1/2,-y,z+1/2'
loop_
_atom_site_label
_atom_site_fract_x
_atom_site_fract_y
_atom_site_fract_z
_atom_site_occupancy
Sn1 0.000 0.239 0.000 1
Pb1 0.000 0.750 0.492 1
Pb2 0.250 0.251 0.489 1
Se1 0.000 0.249 0.466 1
Se2 0.000 0.763 0.983 1
Se3 0.247 0.250 0.983 1
```

ΔE_f (raw)   -0.532 eV/atom
Relative energy among the computed polymorphs   0 meV/atom
ρ   7425 kg/m3

5.
A plane-wave DFT calculation with PBE was carried out for crystalline SnPbSe at its relaxed geometry.

```
data_SnPbSe
_chemical_formula_sum 'Sn4 Pb4 Se4'
_cell_length_a 5.818
_cell_length_b 10.382
_cell_length_c 5.887
_cell_angle_alpha 90.00
_cell_angle_beta 90.00
_cell_angle_gamma 90.00
_space_group_name_H-M_alt 'C m c m'
_space_group_IT_number 63
_space_group_name_Hall '-C 2c 2'
loop_
_atom_site_label
_atom_site_fract_x
_atom_site_fract_y
_atom_site_fract_z
_atom_site_occupancy
Sn1 0.000 0.000 0.000 1
Pb1 0.000 0.354 0.250 1
Se1 0.000 0.256 0.750 1
```

ΔE_f (raw)   -0.119 eV/atom
Fermi-level density of states   0.46 states/eV per atom
Relative energy among the computed polymorphs   45 meV/atom
ρ   7563 kg/m3

6.
A plane-wave DFT calculation with PBE was carried out for crystalline Sn2Pb2Se at its relaxed geometry.

```
data_Sn2Pb2Se
_chemical_formula_sum 'Sn4 Pb4 Se2'
_cell_length_a 7.962
_cell_length_b 7.962
_cell_length_c 4.698
_cell_angle_alpha 90.00
_cell_angle_beta 90.00
_cell_angle_gamma 90.00
_space_group_name_H-M_alt 'P 4/m b m'
_space_group_IT_number 127
_space_group_name_Hall '-P 4 2ab'
loop_
_atom_site_label
_atom_site_fract_x
_atom_site_fract_y
_atom_site_fract_z
_atom_site_occupancy
Sn1 0.145 0.355 0.000 1
Pb1 0.160 0.660 0.500 1
Se1 0.000 0.000 0.000 1
```

ΔE_f (raw)   0.053 eV/atom
Fermi-level density of states   0.52 states/eV per atom
Relative energy among the computed polymorphs   86 meV/atom
ρ   8148 kg/m3